(1)
Material: KNaLi3
Method: DFT, meta-GGA SCAN
State: PBEsol geometry

DOS(E_F): 0.534 states/eV per atom
ΔE to the lowest computed polymorph: 0.000 kcal/mol of atoms

a = 5.703 Å, b = 5.703 Å, c = 5.703 Å
α = 90.00°, β = 90.00°, γ = 90.00°
Sites, in units of the cell vectors:
K: 0.000 0.000 0.000
Na: 0.500 0.500 0.500
Li: 0.000 0.500 0.500
Li: 0.500 0.000 0.500
Li: 0.500 0.500 0.000

(2)
Material: K2NaLi2
Method: DFT, meta-GGA SCAN
State: PBEsol geometry

DOS(E_F): 0.498 states/eV per atom

a = 8.430 Å, b = 8.430 Å, c = 6.000 Å
α = 90.00°, β = 90.00°, γ = 90.00°
Sites, in units of the cell vectors:
K: 0.179 0.321 0.000
K: 0.321 0.821 0.000
K: 0.679 0.179 0.000
K: 0.821 0.679 0.000
Na: 0.000 0.000 0.500
Na: 0.500 0.500 0.500
Li: 0.126 0.626 0.500
Li: 0.374 0.126 0.500
Li: 0.626 0.874 0.500
Li: 0.874 0.374 0.500

(3)
Material: K3Na2LiTeO6
Method: DFT, meta-GGA SCAN
State: PBEsol geometry

Formation energy (no corrections): -1.71 eV/atom
DOS(E_F): 0.000 states/eV per atom

a = 7.524 Å, b = 7.524 Å, c = 6.784 Å
α = 92.26°, β = 92.26°, γ = 104.04°
Sites, in units of the cell vectors:
K: 0.016 0.984 0.500
K: 0.282 0.378 0.345
K: 0.378 0.282 0.845
K: 0.607 0.689 0.034
K: 0.689 0.607 0.534
K: 0.984 0.016 0.000
Na: 0.319 0.778 0.381
Na: 0.532 0.960 0.684
Na: 0.778 0.319 0.881
Na: 0.960 0.532 0.184
Li: 0.358 0.919 0.031
Li: 0.919 0.358 0.531
Te: 0.147 0.633 0.780
Te: 0.633 0.147 0.280
O: 0.045 0.622 0.505
O: 0.068 0.361 0.769
O: 0.227 0.904 0.781
O: 0.249 0.648 0.054
O: 0.361 0.068 0.269
O: 0.385 0.623 0.679
O: 0.622 0.045 0.005
O: 0.623 0.385 0.179
O: 0.647 0.909 0.377
O: 0.648 0.249 0.554
O: 0.904 0.227 0.281
O: 0.909 0.647 0.877

(4)
Material: KLiNb3
Method: DFT, meta-GGA SCAN
State: PBEsol geometry

DOS(E_F): 1.315 states/eV per atom

a = 4.610 Å, b = 4.610 Å, c = 4.610 Å
α = 90.00°, β = 90.00°, γ = 90.00°
Sites, in units of the cell vectors:
K: 0.000 0.000 0.000
Li: 0.500 0.500 0.500
Nb: 0.000 0.000 0.500
Nb: 0.000 0.500 0.000
Nb: 0.500 0.000 0.000

(5)
Material: K3Li2Nb6P3O24
Method: DFT, meta-GGA SCAN
State: PBEsol geometry

Formation energy (no corrections): -2.64 eV/atom
DOS(E_F): 0.086 states/eV per atom

a = 8.480 Å, b = 8.480 Å, c = 8.480 Å
α = 103.38°, β = 103.38°, γ = 103.38°
Sites, in units of the cell vectors:
K: 0.061 0.664 0.275
K: 0.275 0.061 0.664
K: 0.664 0.275 0.061
Li: 0.030 0.030 0.030
Li: 0.307 0.307 0.307
Nb: 0.014 0.692 0.823
Nb: 0.322 0.513 0.644
Nb: 0.513 0.644 0.322
Nb: 0.644 0.322 0.513
Nb: 0.692 0.823 0.014
Nb: 0.823 0.014 0.692
P: 0.168 0.384 0.951
P: 0.384 0.951 0.168
P: 0.951 0.168 0.384
O: 0.034 0.211 0.914
O: 0.083 0.528 0.963
O: 0.124 0.302 0.421
O: 0.168 0.638 0.698
O: 0.211 0.914 0.034
O: 0.254 0.372 0.808
O: 0.302 0.421 0.124
O: 0.352 0.597 0.459
O: 0.372 0.808 0.254
O: 0.421 0.124 0.302
O: 0.459 0.352 0.597
O: 0.516 0.668 0.820
O: 0.528 0.963 0.083
O: 0.597 0.459 0.352
O: 0.638 0.698 0.168
O: 0.668 0.820 0.516
O: 0.698 0.168 0.638
O: 0.738 0.984 0.876
O: 0.808 0.254 0.372
O: 0.820 0.516 0.668
O: 0.876 0.738 0.984
O: 0.914 0.034 0.211
O: 0.963 0.083 0.528
O: 0.984 0.876 0.738

(6)
Material: KLiNbRu2
Method: DFT, meta-GGA SCAN
State: PBEsol geometry

DOS(E_F): 0.837 states/eV per atom

a = 4.673 Å, b = 4.673 Å, c = 5.457 Å
α = 90.00°, β = 90.00°, γ = 90.00°
Sites, in units of the cell vectors:
K: 0.000 0.000 0.000
Li: 0.500 0.500 0.000
Nb: 0.500 0.500 0.500
Ru: 0.000 0.500 0.500
Ru: 0.500 0.000 0.500

(7)
Material: KLi2NbZn
Method: DFT, meta-GGA SCAN
State: PBEsol geometry

DOS(E_F): 0.640 states/eV per atom

a = 4.968 Å, b = 4.968 Å, c = 5.652 Å
α = 90.00°, β = 90.00°, γ = 90.00°
Sites, in units of the cell vectors:
K: 0.000 0.000 0.000
Li: 0.000 0.500 0.500
Li: 0.500 0.000 0.500
Nb: 0.500 0.500 0.000
Zn: 0.000 0.000 0.500

(8)
Material: K2Li2Ni
Method: DFT, meta-GGA SCAN
State: PBEsol geometry

DOS(E_F): 0.612 states/eV per atom

a = 7.909 Å, b = 7.909 Å, c = 7.909 Å
α = 145.67°, β = 145.67°, γ = 49.34°
Sites, in units of the cell vectors:
K: 0.250 0.750 0.500
K: 0.750 0.250 0.500
Li: 0.079 0.079 0.000
Li: 0.921 0.921 0.000
Ni: 0.500 0.500 0.000

(9)
Material: K2LiNi
Method: DFT, meta-GGA SCAN
State: PBEsol geometry

DOS(E_F): 0.388 states/eV per atom
ΔE to the lowest computed polymorph: 4.397 kcal/mol of atoms

a = 5.851 Å, b = 5.851 Å, c = 5.851 Å
α = 129.73°, β = 129.59°, γ = 73.95°
Sites, in units of the cell vectors:
K: 0.249 0.249 0.000
K: 0.751 0.751 0.000
Li: 0.500 0.000 0.500
Ni: 0.000 0.500 0.500

(10)
Material: K3LiNi
Method: DFT, meta-GGA SCAN
State: PBEsol geometry

DOS(E_F): 1.461 states/eV per atom

a = 6.112 Å, b = 6.112 Å, c = 6.112 Å
α = 90.00°, β = 90.00°, γ = 90.00°
Sites, in units of the cell vectors:
K: 0.000 0.000 0.500
K: 0.000 0.500 0.000
K: 0.500 0.000 0.000
Li: 0.500 0.500 0.500
Ni: 0.000 0.000 0.000

(11)
Material: KLi2Ni
Method: DFT, meta-GGA SCAN
State: PBEsol geometry

DOS(E_F): 0.531 states/eV per atom
ΔE to the lowest computed polymorph: 5.147 kcal/mol of atoms

a = 5.298 Å, b = 5.298 Å, c = 5.298 Å
α = 130.66°, β = 130.66°, γ = 72.35°
Sites, in units of the cell vectors:
K: 0.000 0.000 0.000
Li: 0.500 0.500 0.000
Li: 0.750 0.250 0.500
Ni: 0.250 0.750 0.500

(12)
Material: KLi2Ni
Method: DFT, meta-GGA SCAN
State: PBEsol geometry

DOS(E_F): 0.410 states/eV per atom
ΔE to the lowest computed polymorph: 0.000 kcal/mol of atoms

a = 3.239 Å, b = 3.239 Å, c = 8.073 Å
α = 90.00°, β = 90.00°, γ = 90.00°
Sites, in units of the cell vectors:
K: 0.000 0.000 0.000
Li: 0.500 0.500 0.350
Li: 0.500 0.500 0.650
Ni: 0.000 0.000 0.500

(13)
Material: K2LiNi
Method: DFT, meta-GGA SCAN
State: PBEsol geometry

DOS(E_F): 0.540 states/eV per atom
ΔE to the lowest computed polymorph: 0.000 kcal/mol of atoms

a = 3.549 Å, b = 3.549 Å, c = 9.577 Å
α = 90.00°, β = 90.00°, γ = 90.00°
Sites, in units of the cell vectors:
K: 0.000 0.000 0.000
K: 0.500 0.500 0.426
Li: 0.000 0.000 0.693
Ni: 0.500 0.500 0.754

(14)
Material: K2LiNi
Method: DFT, meta-GGA SCAN
State: PBEsol geometry

DOS(E_F): 0.687 states/eV per atom
ΔE to the lowest computed polymorph: 3.439 kcal/mol of atoms

a = 3.484 Å, b = 3.484 Å, c = 10.293 Å
α = 90.00°, β = 90.00°, γ = 90.00°
Sites, in units of the cell vectors:
K: 0.000 0.000 0.193
K: 0.000 0.000 0.807
Li: 0.500 0.500 0.500
Ni: 0.500 0.500 0.000

(15)
Material: K2Li2NiO4
Method: DFT, meta-GGA SCAN
State: PBEsol geometry

Formation energy (no corrections): -1.49 eV/atom
DOS(E_F): 0.242 states/eV per atom

a = 5.408 Å, b = 9.013 Å, c = 10.920 Å
α = 90.00°, β = 111.93°, γ = 90.00°
Sites, in units of the cell vectors:
K: 0.181 0.000 0.363
K: 0.181 0.500 0.863
K: 0.316 0.230 0.155
K: 0.316 0.270 0.655
K: 0.684 0.730 0.345
K: 0.684 0.770 0.845
K: 0.819 0.000 0.637
K: 0.819 0.500 0.137
Li: 0.101 0.749 0.683
Li: 0.101 0.751 0.183
Li: 0.151 0.013 0.932
Li: 0.151 0.487 0.432
Li: 0.849 0.513 0.568
Li: 0.849 0.987 0.068
Li: 0.899 0.249 0.817
Li: 0.899 0.251 0.317
Ni: 0.370 0.715 0.544
Ni: 0.370 0.785 0.044
Ni: 0.630 0.215 0.956
Ni: 0.630 0.285 0.456
O: 0.200 0.689 0.366
O: 0.200 0.811 0.866
O: 0.226 0.571 0.616
O: 0.226 0.929 0.116
O: 0.272 0.615 0.097
O: 0.272 0.885 0.597
O: 0.273 0.204 0.900
O: 0.273 0.296 0.400
O: 0.727 0.704 0.600
O: 0.727 0.796 0.100
O: 0.728 0.115 0.403
O: 0.728 0.385 0.903
O: 0.774 0.071 0.884
O: 0.774 0.429 0.384
O: 0.800 0.189 0.134
O: 0.800 0.311 0.634

(16)
Material: KLi2O2
Method: DFT, meta-GGA SCAN
State: PBEsol geometry

Formation energy (no corrections): -1.56 eV/atom
DOS(E_F): 0.372 states/eV per atom

a = 5.679 Å, b = 5.679 Å, c = 5.679 Å
α = 145.16°, β = 145.16°, γ = 50.10°
Sites, in units of the cell vectors:
K: 0.000 0.000 0.000
Li: 0.250 0.750 0.500
Li: 0.750 0.250 0.500
O: 0.339 0.339 0.000
O: 0.661 0.661 0.000

(17)
Material: KLiP2O
Method: DFT, meta-GGA SCAN
State: PBEsol geometry

Formation energy (no corrections): 1.05 eV/atom
DOS(E_F): 0.349 states/eV per atom

a = 5.916 Å, b = 5.916 Å, c = 4.596 Å
α = 90.00°, β = 90.00°, γ = 90.00°
Sites, in units of the cell vectors:
K: 0.000 0.000 0.000
Li: 0.500 0.500 0.500
P: 0.000 0.500 0.000
P: 0.500 0.000 0.000
O: 0.000 0.000 0.500

(18)
Material: K2LiTa6P3O24
Method: DFT, meta-GGA SCAN
State: PBEsol geometry

Formation energy (no corrections): -2.88 eV/atom
DOS(E_F): 0.000 states/eV per atom

a = 8.400 Å, b = 8.402 Å, c = 8.416 Å
α = 104.20°, β = 104.21°, γ = 103.78°
Sites, in units of the cell vectors:
K: 0.000 0.000 0.000
K: 0.485 0.483 0.529
Li: 0.491 0.176 0.853
Ta: 0.053 0.616 0.608
Ta: 0.246 0.745 0.295
Ta: 0.545 0.555 0.099
Ta: 0.735 0.234 0.227
Ta: 0.866 0.426 0.910
Ta: 0.928 0.935 0.420
P: 0.171 0.306 0.757
P: 0.389 0.859 0.983
P: 0.618 0.085 0.533
O: 0.031 0.292 0.847
O: 0.045 0.585 0.104
O: 0.096 0.893 0.319
O: 0.125 0.135 0.611
O: 0.189 0.455 0.680
O: 0.211 0.649 0.469
O: 0.240 0.815 0.813
O: 0.311 0.877 0.131
O: 0.348 0.335 0.889
O: 0.387 0.606 0.225
O: 0.447 0.938 0.487
O: 0.475 0.716 0.968
O: 0.522 0.035 0.012
O: 0.580 0.375 0.187
O: 0.604 0.175 0.393
O: 0.643 0.219 0.708
O: 0.683 0.511 0.942
O: 0.737 0.735 0.262
O: 0.769 0.011 0.552
O: 0.818 0.262 0.041
O: 0.854 0.071 0.274
O: 0.899 0.427 0.406
O: 0.914 0.543 0.747
O: 0.956 0.788 0.569

(19)
Material: KLiSO4
Method: DFT, meta-GGA SCAN
State: PBEsol geometry

Formation energy (no corrections): -2.14 eV/atom
DOS(E_F): 0.000 states/eV per atom

a = 5.111 Å, b = 5.111 Å, c = 8.672 Å
α = 90.00°, β = 90.00°, γ = 120.00°
Sites, in units of the cell vectors:
K: 0.000 0.000 0.000
K: 0.000 0.000 0.500
Li: 0.333 0.667 0.188
Li: 0.667 0.333 0.688
S: 0.333 0.667 0.798
S: 0.667 0.333 0.298
O: 0.057 0.665 0.742
O: 0.333 0.667 0.969
O: 0.335 0.393 0.742
O: 0.393 0.057 0.242
O: 0.607 0.943 0.742
O: 0.665 0.607 0.242
O: 0.667 0.333 0.469
O: 0.943 0.335 0.242

(20)
Material: KLiSb3O8
Method: DFT, meta-GGA SCAN
State: PBEsol geometry

Formation energy (no corrections): -1.64 eV/atom

a = 6.383 Å, b = 7.535 Å, c = 7.766 Å
α = 85.99°, β = 78.89°, γ = 76.80°
Sites, in units of the cell vectors:
K: 0.000 0.000 0.000
K: 0.461 0.958 0.180
Li: 0.170 0.805 0.594
Li: 0.542 0.550 0.332
Sb: 0.045 0.555 0.292
Sb: 0.318 0.217 0.580
Sb: 0.404 0.512 0.933
Sb: 0.653 0.845 0.610
Sb: 0.829 0.210 0.569
Sb: 0.905 0.516 0.934
O: 0.009 0.316 0.727
O: 0.124 0.642 0.810
O: 0.137 0.095 0.459
O: 0.138 0.377 0.078
O: 0.276 0.675 0.156
O: 0.296 0.416 0.403
O: 0.370 0.004 0.743
O: 0.479 0.750 0.483
O: 0.521 0.333 0.684
O: 0.632 0.086 0.443
O: 0.661 0.674 0.820
O: 0.697 0.368 0.032
O: 0.823 0.413 0.400
O: 0.825 0.679 0.142
O: 0.826 0.987 0.720
O: 0.950 0.741 0.472

no.,uncorrected energy (eV per atom)
1,-3.676
2,-5.015
3,-10.209
4,-19.353
5,-13.407
6,-21.598
7,-10.925
8,-6.625
9,-8.142
10,-8.132
11,-6.716
12,-6.939
13,-8.333
14,-8.184
15,-8.435
16,-6.669
17,-6.501
18,-19.523
19,-8.606
20,-14.895